Below is crystalline Co4B3P at its relaxed geometry, with properties calculated at the PBE level.

Cell: 4.842 2.605 5.640 Å, 90.00 90.28 90.00°
Element x y z (fractional)
Co 0.000 0.000 0.000
Co 0.011 0.500 0.410
Co 0.506 0.000 0.904
Co 0.530 0.500 0.522
B 0.173 0.500 0.752
B 0.703 0.500 0.146
B 0.857 0.000 0.665
P 0.344 0.000 0.259

- E (eV/atom) = -6.91
- total moment (μB/f.u.) = 0.000
- symmetry = Pm, No. 6

Below is crystalline Co2BP at its relaxed geometry, with properties calculated at the PBE level.

Cell: 4.926 3.081 5.288 Å, 90.00 90.07 90.00°
Element x y z (fractional)
Co 0.000 0.250 0.208
Co 0.000 0.750 0.792
Co 0.498 0.750 0.795
Co 0.502 0.250 0.205
B 0.249 0.250 0.902
B 0.751 0.750 0.098
P 0.253 0.750 0.426
P 0.747 0.250 0.574

- E (eV/atom) = -6.86
- total moment (μB/f.u.) = 0.006
- symmetry = P2_1/m, No. 11

Below is crystalline SmCo2BP at its relaxed geometry, with properties calculated at the PBE level.

Cell: 5.667 5.667 5.667 Å, 142.34 142.34 54.31°
Element x y z (fractional)
Sm 0.000 0.000 0.000
Co 0.263 0.763 0.500
Co 0.763 0.263 0.500
B 0.349 0.349 0.000
P 0.640 0.640 0.000

- E (eV/atom) = -6.96
- total moment (μB/f.u.) = 0.009
- symmetry = I4mm, No. 107

Below is crystalline Tb2TmCo2B2P3 at its relaxed geometry, with properties calculated at the PBE level.

Cell: 11.231 11.231 11.231 Å, 160.24 160.24 28.08°
Element x y z (fractional)
Tb 0.138 0.138 0.000
Tb 0.862 0.862 0.000
Tm 0.500 0.500 0.000
Co 0.250 0.750 0.500
Co 0.750 0.250 0.500
B 0.286 0.286 0.000
B 0.714 0.714 0.000
P 0.000 0.000 0.000
P 0.376 0.376 0.000
P 0.624 0.624 0.000

- E (eV/atom) = -6.65
- total moment (μB/f.u.) = 0.004
- symmetry = I4/mmm, No. 139

Below is crystalline TbY2Co2B2P3 at its relaxed geometry, with properties calculated at the PBE level.

Cell: 11.303 11.303 11.303 Å, 160.24 160.24 28.08°
Element x y z (fractional)
Tb 0.000 0.000 0.000
Y 0.362 0.362 0.000
Y 0.638 0.638 0.000
Co 0.250 0.750 0.500
Co 0.750 0.250 0.500
B 0.215 0.215 0.000
B 0.785 0.785 0.000
P 0.125 0.125 0.000
P 0.500 0.500 0.000
P 0.875 0.875 0.000

- E (eV/atom) = -7.02
- total moment (μB/f.u.) = 0.002
- symmetry = I4/mmm, No. 139

Below is crystalline Y2TmCo2B2P3 at its relaxed geometry, with properties calculated at the PBE level.

Cell: 11.243 11.243 11.243 Å, 160.34 160.34 27.94°
Element x y z (fractional)
Y 0.137 0.137 0.000
Y 0.863 0.863 0.000
Tm 0.500 0.500 0.000
Co 0.250 0.750 0.500
Co 0.750 0.250 0.500
B 0.285 0.285 0.000
B 0.715 0.715 0.000
P 0.000 0.000 0.000
P 0.376 0.376 0.000
P 0.624 0.624 0.000

- E (eV/atom) = -7.01
- total moment (μB/f.u.) = 0.004
- symmetry = I4/mmm, No. 139

Below is crystalline PaCo12B6 at its relaxed geometry, with properties calculated at the PBE level.

Cell: 5.955 5.955 5.955 Å, 104.29 104.29 104.29°
Element x y z (fractional)
Pa 0.000 0.000 0.000
Co 0.133 0.500 0.867
Co 0.133 0.867 0.500
Co 0.185 0.451 0.451
Co 0.451 0.185 0.451
Co 0.451 0.451 0.185
Co 0.500 0.133 0.867
Co 0.500 0.867 0.133
Co 0.549 0.549 0.815
Co 0.549 0.815 0.549
Co 0.815 0.549 0.549
Co 0.867 0.133 0.500
Co 0.867 0.500 0.133
B 0.233 0.233 0.677
B 0.233 0.677 0.233
B 0.323 0.767 0.767
B 0.677 0.233 0.233
B 0.767 0.323 0.767
B 0.767 0.767 0.323

- E (eV/atom) = -7.45
- total moment (μB/f.u.) = 6.858
- symmetry = R-3m, No. 166

Below is crystalline PaCo2B2 at its relaxed geometry, with properties calculated at the PBE level.

Cell: 5.291 5.291 5.291 Å, 140.81 140.81 56.62°
Element x y z (fractional)
Pa 0.000 0.000 0.000
Co 0.250 0.750 0.500
Co 0.750 0.250 0.500
B 0.360 0.360 0.000
B 0.640 0.640 0.000

- E (eV/atom) = -7.94
- total moment (μB/f.u.) = 0.015
- symmetry = I4/mmm, No. 139